This record from Alexandria describes a geometry-optimized Rb2NaCrO4 structure. The functional is PBE+U.

```
data_Rb2NaCrO4
_chemical_formula_sum 'Rb16 Na8 Cr8 O32'
_cell_length_a 5.455
_cell_length_b 11.887
_cell_length_c 21.616
_cell_angle_alpha 90.00
_cell_angle_beta 90.00
_cell_angle_gamma 90.00
_symmetry_space_group_name_H-M 'F d d d'
_symmetry_Int_Tables_number 70
loop_
_symmetry_equiv_pos_as_xyz
'x,y,z'
'-x,-y,-z'
'-x+1/4,-y+1/4,z'
'x+1/4,y+1/4,-z'
'x,-y+1/4,-z+1/4'
'-x,y+1/4,z+1/4'
'-x+1/4,y,-z+1/4'
'x+1/4,-y,z+1/4'
'x,y+1/2,z+1/2'
'-x,-y+1/2,-z+1/2'
'-x+1/4,-y+3/4,z+1/2'
'x+1/4,y+3/4,-z+1/2'
'x,-y+3/4,-z+3/4'
'-x,y+3/4,z+3/4'
'-x+1/4,y+1/2,-z+3/4'
'x+1/4,-y+1/2,z+3/4'
'x+1/2,y,z+1/2'
'-x+1/2,-y,-z+1/2'
'-x+3/4,-y+1/4,z+1/2'
'x+3/4,y+1/4,-z+1/2'
'x+1/2,-y+1/4,-z+3/4'
'-x+1/2,y+1/4,z+3/4'
'-x+3/4,y,-z+3/4'
'x+3/4,-y,z+3/4'
'x+1/2,y+1/2,z'
'-x+1/2,-y+1/2,-z'
'-x+3/4,-y+3/4,z'
'x+3/4,y+3/4,-z'
'x+1/2,-y+3/4,-z+1/4'
'-x+1/2,y+3/4,z+1/4'
'-x+3/4,y+1/2,-z+1/4'
'x+3/4,-y+1/2,z+1/4'
loop_
_atom_site_label
_atom_site_type_symbol
_atom_site_fract_x
_atom_site_fract_y
_atom_site_fract_z
Rb1 Rb 0.125 0.125 0.305
Na1 Na 0.125 0.125 0.125
Cr1 Cr 0.125 0.125 0.625
O1 O 0.060 0.286 0.832
```

This record from Alexandria describes a geometry-optimized Na3Cr3ReO8 structure. The functional is PBE+U.

```
data_Na3Cr3ReO8
_chemical_formula_sum 'Na9 Cr9 Re3 O24'
_cell_length_a 6.1418
_cell_length_b 6.1418
_cell_length_c 16.3387
_cell_angle_alpha 90.00
_cell_angle_beta 90.00
_cell_angle_gamma 120.00
_symmetry_space_group_name_H-M 'R -3 m'
_symmetry_Int_Tables_number 166
_symmetry_space_group_name_Hall '-R 3 2"'
loop_
_atom_site_label
_atom_site_type_symbol
_atom_site_fract_x
_atom_site_fract_y
_atom_site_fract_z
Na1 Na 0.0000 0.5000 0.0000
Cr1 Cr 0.0000 0.5000 0.5000
Re1 Re 0.0000 0.0000 0.5000
O1 O 0.0000 0.0000 0.2316
O2 O 0.0015 0.5007 0.2300
```

| no. | total magnetization (μB/atom) | electronic total energy (eV/cell) |
| --- | --- | --- |
| 1 | 0.125 | -339.1 |
| 2 | 0.800 | -314.8 |